# 1
Below is a relaxed structure of NaPuTl2O8, with properties calculated at the PBE level.

Summary:
ΔE_f (raw)	-1.2210	eV/atom
symmetry	P2/m
DOS at the Fermi energy	3.14	states/eV/f.u.

abc: 5.6068 4.6039 6.8297
angles: 90.00 90.00 88.57
With the nearest neighbours (Å) after each atom.
Element x y z (fractional)
Na1 0.0000 0.0000 0.5000  6 O 2.36-2.48
Pu1 0.0000 0.0000 0.0000  6 O 1.95-2.18
Tl1 0.5000 0.5000 0.7611  4 O 2.24-2.34
Tl2 0.5000 0.5000 0.2389  4 O 2.24-2.34
O1 0.1427 0.7713 0.2117  1 Pu 1.95
O2 0.6754 0.7503 0.0000  1 Pu 2.18, 2 Tl 2.24
O3 0.8573 0.2287 0.2117  1 Pu 1.95
O4 0.8573 0.2287 0.7883  1 Pu 1.95
O5 0.3246 0.2497 0.0000  1 Pu 2.18, 2 Tl 2.24
O6 0.1427 0.7713 0.7883  1 Pu 1.95
O7 0.5727 0.8722 0.5000  1 O 1.42
O8 0.4273 0.1278 0.5000  1 O 1.42

# 2
Below is a relaxed structure of Na4Tm3PuO8, with properties calculated at the PBE level.

Summary:
ΔE_f (raw)	-2.7249	eV/atom
symmetry	R-3m
DOS at the Fermi energy	5.24	states/eV/f.u.

abc: 6.8132 6.8276 6.8131
angles: 119.93 120.00 90.00
With the nearest neighbours (Å) after each atom.
Element x y z (fractional)
Na1 0.5000 0.0000 0.0000  6 O 2.50
Na2 0.5000 0.0000 0.5000  6 O 2.55-2.57
Na3 0.0000 0.0000 0.0000  6 O 2.55-2.56
Na4 0.0000 0.0000 0.5000  6 O 2.55-2.57
Tm1 0.5000 0.5000 0.0000  6 O 2.27-2.28
Tm2 0.5000 0.5000 0.5000  6 O 2.27-2.28
Tm3 0.0000 0.5000 0.5000  6 O 2.27-2.28
Pu1 0.0000 0.5000 0.0000  6 O 2.34
O1 0.2415 0.7110 0.9694  2 Tm 2.27, 1 Pu 2.34, 1 Na 2.50
O2 0.2415 0.7110 0.4831  2 Tm 2.27, 1 Pu 2.34, 1 Na 2.50
O3 0.2639 0.2916 0.5278  3 Tm 2.28, 3 Na 2.55
O4 0.7278 0.7110 0.9694  2 Tm 2.27, 1 Pu 2.34, 1 Na 2.50
O5 0.2722 0.2890 0.0306  2 Tm 2.27, 1 Pu 2.34, 1 Na 2.50
O6 0.7361 0.7084 0.4722  3 Tm 2.28, 3 Na 2.55
O7 0.7585 0.2890 0.5169  2 Tm 2.27, 1 Pu 2.34, 1 Na 2.50
O8 0.7585 0.2890 0.0306  2 Tm 2.27, 1 Pu 2.34, 1 Na 2.50

# 3
Below is a relaxed structure of NaTmPuO6, with properties calculated at the PBE level.

Summary:
ΔE_f (raw)	-2.3721	eV/atom
symmetry	P312
DOS at the Fermi energy	2.92	states/eV/f.u.

abc: 4.7999 5.5207 5.5207
angles: 120.00 90.00 90.00
With the nearest neighbours (Å) after each atom.
Element x y z (fractional)
Na1 0.5000 0.6667 0.3333  6 O 2.33
Tm1 0.0000 0.3333 0.6667  6 O 2.26
Pu1 0.5000 0.0000 0.0000  6 O 1.98
O1 0.7332 0.6930 0.7155  1 Pu 1.98
O2 0.7332 0.2845 0.9775  1 Pu 1.98
O3 0.7332 0.0225 0.3070  1 Pu 1.98
O4 0.2668 0.2845 0.3070  1 Pu 1.98
O5 0.2668 0.6930 0.9775  1 Pu 1.98
O6 0.2668 0.0225 0.7155  1 Pu 1.98

# 4
Below is a relaxed structure of Na2TmPuO6, with properties calculated at the PBE level.

Summary:
ΔE_f (raw)	-2.5370	eV/atom
symmetry	R3

abc: 5.7914 5.7916 5.8451
angles: 60.29 60.28 60.00
With the nearest neighbours (Å) after each atom.
Element x y z (fractional)
Na1 0.5575 0.5570 0.3281  3 O 2.39
Na2 0.0729 0.0733 0.7809  3 O 2.39
Tm1 0.8162 0.8162 0.5514  6 O 2.22
Pu1 0.3163 0.3163 0.0511  6 O 2.02
O1 0.5490 0.1668 0.2929  1 Pu 2.02, 1 Tm 2.22
O2 0.1673 0.9909 0.2931  1 Pu 2.02, 1 Tm 2.22
O3 0.9912 0.5481 0.2938  1 Pu 2.02, 1 Tm 2.22
O4 0.4652 0.6418 0.8081  1 Pu 2.02, 1 Tm 2.22
O5 0.6415 0.0855 0.8074  1 Pu 2.02, 1 Tm 2.22
O6 0.0846 0.4657 0.8084  1 Pu 2.02, 1 Tm 2.22

| no. | theoretical density (g cm⁻³) |
| --- | --- |
| 1 | 7.57 |
| 2 | 7.19 |
| 3 | 6.97 |
| 4 | 6.62 |